1.
## ErPaCrN4 (PBE-GGA)

Data for ErPaCrN4 after structural relaxation.

Properties
Magnetic moment ... 3.27 μB per cell
Uncorrected formation energy ... -1.067 eV per atom

abc: 5.6915 5.2622 6.6057
angles: 90.00 108.20 90.00
Sites, in units of the cell vectors:
Er  0.1999  0.2500  0.4236
Er  0.8001  0.7500  0.5764
Pa  0.2708  0.2500  0.9435
Pa  0.7292  0.7500  0.0565
Cr  0.2666  0.7500  0.2044
Cr  0.7334  0.2500  0.7956
N  0.0573  0.7500  0.3662
N  0.0715  0.7500  0.9263
N  0.4836  0.9995  0.2372
N  0.4836  0.5005  0.2372
N  0.5164  0.0005  0.7628
N  0.5164  0.4995  0.7628
N  0.9285  0.2500  0.0737
N  0.9427  0.2500  0.6338

---

2.
## Tb8Al2Ru (PBE-GGA)

Data for Tb8Al2Ru after structural relaxation.

Properties
Magnetic moment ... 0.00 μB per cell

abc: 9.0748 9.0748 6.9263
angles: 110.62 110.62 33.94
Sites, in units of the cell vectors:
Tb  0.0131  0.0131  0.2744
Tb  0.1986  0.1986  0.7651
Tb  0.3516  0.3516  0.5720
Tb  0.3992  0.3992  0.0843
Tb  0.6008  0.6008  0.9157
Tb  0.6484  0.6484  0.4280
Tb  0.8014  0.8014  0.2349
Tb  0.9869  0.9869  0.7256
Al  0.1809  0.1809  0.1917
Al  0.8191  0.8191  0.8083
Ru  0.5000  0.5000  0.5000

---

| no. | calculated total energy (eV for the cell shown) |
| --- | --- |
| 1 | -128.90 |
| 2 | -56.21 |